1.
Compound: RhPbN3
Source: Alexandria
Functional: PBE
Structure: optimized geometry Values from VASP.

Structure (Quantum ESPRESSO input):
```
&SYSTEM
  ibrav = 0, nat = 5, ntyp = 3
/
ATOMIC_SPECIES
N 14.01 N.upf
Rh 102.91 Rh.upf
Pb 207.20 Pb.upf
CELL_PARAMETERS angstrom
-3.533 1.349 -1.224
-1.543 -3.637 0.445
-0.969 0.871 3.756
ATOMIC_POSITIONS crystal
N 0.000 0.000 0.500
N 0.000 0.500 0.000
N 0.500 0.000 0.000
Rh 0.000 0.000 0.000
Pb 0.500 0.500 0.500
```

## Properties
Raw formation energy   1.347 eV/atom
Space group   Pm-3m (221)

=====

2.
Compound: TbNd2Sn
Source: Alexandria
Functional: PBE
Structure: optimized geometry Values from VASP.

Structure (Quantum ESPRESSO input):
```
&SYSTEM
  ibrav = 0, nat = 8, ntyp = 3
/
ATOMIC_SPECIES
Sn 118.71 Sn.upf
Tb 158.93 Tb.upf
Nd 144.24 Nd.upf
CELL_PARAMETERS angstrom
-0.452 1.164 3.242
3.323 -4.138 1.950
11.142 7.528 -3.011
ATOMIC_POSITIONS crystal
Sn 0.305 0.250 0.609
Sn 0.695 0.750 0.391
Tb 0.972 0.750 0.945
Tb 0.028 0.250 0.055
Nd 0.189 0.250 0.377
Nd 0.095 0.750 0.189
Nd 0.811 0.750 0.623
Nd 0.905 0.250 0.811
```

## Properties
Formation energy   -0.0651 eV per atom
Excess energy over the best structure of this formula in the dataset   0.375 eV per atom
Space group   Cmcm (63)

=====

3.
Compound: CrCoRu4
Source: Alexandria
Functional: PBE
Structure: optimized geometry Values from VASP.

Structure (Quantum ESPRESSO input):
```
&SYSTEM
  ibrav = 0, nat = 12, ntyp = 3
/
ATOMIC_SPECIES
Ru 101.07 Ru.upf
Co 58.93 Co.upf
Cr 52.00 Cr.upf
CELL_PARAMETERS angstrom
-3.665 -0.256 -3.137
5.447 -0.395 -6.333
-1.376 -3.646 4.565
ATOMIC_POSITIONS crystal
Ru 0.000 0.782 0.000
Ru 0.352 0.124 0.675
Ru 0.648 0.876 0.325
Ru 0.648 0.449 0.325
Ru 0.000 0.218 0.000
Ru 0.941 0.206 0.412
Ru 0.059 0.794 0.588
Ru 0.352 0.551 0.675
Co 0.402 0.131 0.261
Co 0.598 0.869 0.739
Cr 0.263 0.530 0.061
Cr 0.737 0.470 0.939
```

## Properties
Formation energy   0.1958 eV per atom
Excess energy over the best structure of this formula in the dataset   0.000 eV per atom
Space group   C2/m (12)

=====

| no. | total magnetic moment (Bohr magnetons per cell) |
| --- | --- |
| 1 | 0.00 |
| 2 | 0.00 |
| 3 | 0.00 |